1.
The following is a GGA-PBE calculation of an optimized crystal structure of ZnCuBr, from Alexandria via LeMat-Bulk.

a = 3.5451 Å, b = 3.5451 Å, c = 5.3614 Å
α = 90.00°, β = 90.00°, γ = 120.00°
Space group P3m1 (No. 156)
Unique sites:
Zn  0.0000  0.0000  0.0000 [1 per cell]
Cu  0.3333  0.6667  0.7215 [1 per cell]
Br  0.6667  0.3333  0.4091 [1 per cell]

Computed properties:
**E_form (uncorrected)**: -0.013 eV per atom
**Energy relative to the lowest polymorph listed for this composition**: 0 meV/atom
**Spin magnetization**: 0.00 μB per cell
**Total DFT energy (no corrections)**: -2.361 eV/atom

***

2.
The following is a GGA-PBE calculation of an optimized crystal structure of MnAlOs2, from Alexandria via LeMat-Bulk.

a = 2.747 Å, b = 2.747 Å, c = 7.316 Å
α = 90.00°, β = 90.00°, γ = 90.00°
Space group P4mm (No. 99)
Unique sites:
Mn  0.000  0.000  0.000 [1 per cell]
Al  0.500  0.500  0.761 [1 per cell]
Os  0.000  0.000  0.501 [1 per cell]
Os  0.500  0.500  0.256 [1 per cell]

Computed properties:
**Spin magnetization**: 2.13 μB per cell
**E_form**: -82 meV per atom
**Total DFT energy (no corrections)**: -8.925 eV/atom

***

3.
The following is a GGA-PBE calculation of an optimized crystal structure of YHo3Er2Tm6, from Alexandria via LeMat-Bulk.

a = 6.077 Å, b = 10.511 Å, c = 11.621 Å
α = 90.00°, β = 100.01°, γ = 90.00°
Space group C2/m (No. 12)
Unique sites:
Y  0.000  0.000  0.000 [2 per cell]
Ho  0.000  0.167  0.500 [4 per cell]
Ho  0.000  0.500  0.500 [2 per cell]
Er  0.000  0.333  0.000 [4 per cell]
Tm  0.249  0.333  0.750 [8 per cell]
Tm  0.249  0.500  0.250 [4 per cell]

Computed properties:
**Spin magnetization**: 0.00 μB per cell
**E_form**: 25 meV per atom
**Total DFT energy (no corrections)**: -4.654 eV/atom

***

4.
The following is a GGA-PBE calculation of an optimized crystal structure of YHo2Pb, from Alexandria via LeMat-Bulk.

a = 7.729 Å, b = 7.729 Å, c = 7.729 Å
α = 90.00°, β = 90.00°, γ = 90.00°
Space group F-43m (No. 216)
Unique sites:
Y  0.000  0.000  0.000 [4 per cell]
Ho  0.000  0.000  0.500 [4 per cell]
Ho  0.250  0.250  0.750 [4 per cell]
Pb  0.250  0.250  0.250 [4 per cell]

Computed properties:
**Energy relative to the lowest polymorph listed for this composition**: 171 meV/atom
**Spin magnetization**: 3.59 μB per cell
**E_form**: -99 meV per atom
**Total DFT energy (no corrections)**: -4.931 eV/atom

***

5.
The following is a GGA-PBE calculation of an optimized crystal structure of Na2Pt4Pb5, from Alexandria via LeMat-Bulk.

a = 10.908 Å, b = 7.203 Å, c = 7.507 Å
α = 90.00°, β = 113.54°, γ = 90.00°
Space group C2/m (No. 12)
Unique sites:
Na  0.069  0.000  0.245 [4 per cell]
Pt  0.147  0.500  0.388 [4 per cell]
Pt  0.230  0.000  0.001 [4 per cell]
Pb  0.000  0.500  0.000 [2 per cell]
Pb  0.162  0.252  0.686 [8 per cell]

Computed properties:
**Spin magnetization**: 0.00 μB per cell
**E_form**: -128 meV per atom
**Total DFT energy (no corrections)**: -4.250 eV/atom

***

6.
The following is a GGA-PBE calculation of an optimized crystal structure of Y8Si3Te3As, from Alexandria via LeMat-Bulk.

a = 8.3784 Å, b = 8.3784 Å, c = 21.0553 Å
α = 90.00°, β = 90.00°, γ = 120.00°
Space group R-3m (No. 166, hexagonal axes)
Unique sites:
Y  0.0000  0.0000  0.2397 [6 per cell]
Y  0.0070  0.5035  0.7596 [18 per cell]
Si  0.0000  0.5000  0.5000 [9 per cell]
Te  0.0000  0.5000  0.0000 [9 per cell]
As  0.0000  0.0000  0.5000 [3 per cell]

Computed properties:
**E_form (uncorrected)**: -1.080 eV per atom
**Spin magnetization**: 0.00 μB per cell
**Total DFT energy (no corrections)**: -6.550 eV/atom

***

7.
The following is a GGA-PBE calculation of an optimized crystal structure of LaHfVI2, from Alexandria via LeMat-Bulk.

a = 5.298 Å, b = 5.298 Å, c = 5.189 Å
α = 90.00°, β = 90.00°, γ = 90.00°
Space group P4/mmm (No. 123)
Unique sites:
La  0.000  0.000  0.000 [1 per cell]
Hf  0.500  0.500  0.000 [1 per cell]
V  0.000  0.000  0.500 [1 per cell]
I  0.000  0.500  0.500 [2 per cell]

Computed properties:
**E_form (uncorrected)**: 0.744 eV per atom
**Spin magnetization**: 2.55 μB per cell
**Total DFT energy (no corrections)**: -4.676 eV/atom

***

8.
The following is a GGA-PBE calculation of an optimized crystal structure of CeTlPd3, from Alexandria via LeMat-Bulk.

a = 10.298 Å, b = 4.559 Å, c = 9.600 Å
α = 90.00°, β = 112.93°, γ = 90.00°
Space group C2/m (No. 12)
Unique sites:
Ce  0.079  0.000  0.382 [4 per cell]
Tl  0.102  0.500  0.911 [4 per cell]
Pd  0.127  0.500  0.616 [4 per cell]
Pd  0.130  0.000  0.110 [4 per cell]
Pd  0.216  0.500  0.285 [4 per cell]

Computed properties:
**Spin magnetization**: 2.17 μB per cell
**E_form**: -483 meV per atom
**Total DFT energy (no corrections)**: -5.259 eV/atom

***

9.
The following is a GGA-PBE calculation of an optimized crystal structure of Ti3AlH, from Alexandria via LeMat-Bulk.

a = 2.718 Å, b = 5.565 Å, c = 13.702 Å
α = 90.00°, β = 90.00°, γ = 90.00°
Space group Amm2 (No. 38)
Unique sites:
Ti  0.000  0.000  0.000 [2 per cell]
Ti  0.500  0.243  0.361 [4 per cell]
Al  0.500  0.000  0.183 [2 per cell]
H  0.000  0.000  0.855 [2 per cell]

Computed properties:
**Spin magnetization**: 0.00 μB per cell
**Total DFT energy (no corrections)**: -5.610 eV/atom

***

10.
The following is a GGA-PBE calculation of an optimized crystal structure of Er3CdAg2, from Alexandria via LeMat-Bulk.

a = 3.643 Å, b = 3.643 Å, c = 10.897 Å
α = 90.00°, β = 90.00°, γ = 90.00°
Space group P4/mmm (No. 123)
Unique sites:
Er  0.000  0.000  0.000 [1 per cell]
Er  0.000  0.000  0.326 [2 per cell]
Cd  0.500  0.500  0.500 [1 per cell]
Ag  0.500  0.500  0.166 [2 per cell]

Computed properties:
**Spin magnetization**: 0.00 μB per cell
**E_form**: -325 meV per atom
**Total DFT energy (no corrections)**: -3.710 eV/atom

***

11.
The following is a GGA-PBE calculation of an optimized crystal structure of BeNb2Ni, from Alexandria via LeMat-Bulk.

a = 3.7088 Å, b = 3.7088 Å, c = 14.7292 Å
α = 90.00°, β = 90.00°, γ = 120.00°
Space group R3m (No. 160, hexagonal axes)
Unique sites:
Be  0.0000  0.0000  0.0000 [3 per cell]
Nb  0.0000  0.0000  0.5712 [3 per cell]
Nb  0.0000  0.0000  0.7802 [3 per cell]
Ni  0.0000  0.0000  0.3523 [3 per cell]

Computed properties:
**Spin magnetization**: 0.00 μB per cell
**E_form**: 84 meV per atom
**Total DFT energy (no corrections)**: -7.327 eV/atom

***

12.
The following is a GGA-PBE calculation of an optimized crystal structure of Ca3Mg7Al2, from Alexandria via LeMat-Bulk.

a = 6.0887 Å, b = 6.0887 Å, c = 29.1100 Å
α = 90.00°, β = 90.00°, γ = 120.00°
Space group R-3m (No. 166, hexagonal axes)
Unique sites:
Ca  0.0000  0.0000  0.0000 [3 per cell]
Ca  0.0000  0.0000  0.1445 [6 per cell]
Mg  0.0000  0.0000  0.5000 [3 per cell]
Mg  0.0025  0.5012  0.9204 [18 per cell]
Al  0.0000  0.0000  0.3338 [6 per cell]

Computed properties:
**Spin magnetization**: 0.00 μB per cell
**E_form**: -92 meV per atom
**Total DFT energy (no corrections)**: -2.146 eV/atom

***

13.
The following is a GGA-PBE calculation of an optimized crystal structure of BaNiRh2, from Alexandria via LeMat-Bulk.

a = 3.068 Å, b = 4.999 Å, c = 9.713 Å
α = 90.00°, β = 90.00°, γ = 90.00°
Space group Immm (No. 71)
Unique sites:
Ba  0.000  0.000  0.000 [2 per cell]
Ni  0.000  0.000  0.500 [2 per cell]
Rh  0.000  0.500  0.214 [4 per cell]

Computed properties:
**Spin magnetization**: 0.00 μB per cell
**E_form**: 425 meV per atom
**Total DFT energy (no corrections)**: -5.177 eV/atom

***

14.
The following is a GGA-PBE calculation of an optimized crystal structure of Cd2PdAu6, from Alexandria via LeMat-Bulk.

a = 12.672 Å, b = 4.118 Å, c = 6.650 Å
α = 90.00°, β = 109.31°, γ = 90.00°
Space group C2/m (No. 12)
Unique sites:
Cd  0.056  0.000  0.320 [4 per cell]
Pd  0.000  0.500  0.000 [2 per cell]
Au  0.108  0.500  0.668 [4 per cell]
Au  0.168  0.000  0.000 [4 per cell]
Au  0.222  0.500  0.333 [4 per cell]

Computed properties:
**Energy relative to the lowest polymorph listed for this composition**: 0 meV/atom
**Spin magnetization**: 0.00 μB per cell
**E_form**: -151 meV per atom
**Total DFT energy (no corrections)**: -3.116 eV/atom

***

15.
The following is a GGA-PBE calculation of an optimized crystal structure of Pm2FeGe3Pt4, from Alexandria via LeMat-Bulk.

a = 4.297 Å, b = 4.297 Å, c = 10.253 Å
α = 90.00°, β = 90.00°, γ = 90.00°
Space group P-4m2 (No. 115)
Unique sites:
Pm  0.000  0.500  0.243 [2 per cell]
Fe  0.500  0.500  0.000 [1 per cell]
Ge  0.000  0.000  0.000 [1 per cell]
Ge  0.000  0.500  0.634 [2 per cell]
Pt  0.000  0.000  0.500 [1 per cell]
Pt  0.000  0.500  0.872 [2 per cell]
Pt  0.500  0.500  0.500 [1 per cell]

Computed properties:
**Spin magnetization**: 2.90 μB per cell
**E_form**: -835 meV per atom
**Total DFT energy (no corrections)**: -6.433 eV/atom

***

16.
The following is a GGA-PBE calculation of an optimized crystal structure of K2TeSe, from Alexandria via LeMat-Bulk.

a = 4.926 Å, b = 4.926 Å, c = 6.971 Å
α = 90.00°, β = 90.00°, γ = 90.00°
Space group P4mm (No. 99)
Unique sites:
K  0.000  0.000  0.000 [1 per cell]
K  0.500  0.500  0.496 [1 per cell]
Te  0.000  0.000  0.501 [1 per cell]
Se  0.500  0.500  0.995 [1 per cell]

Computed properties:
**E_form (uncorrected)**: -0.432 eV per atom
**Energy relative to the lowest polymorph listed for this composition**: 404 meV/atom
**Spin magnetization**: 2.02 μB per cell
**Total DFT energy (no corrections)**: -2.637 eV/atom

***

17.
The following is a GGA-PBE calculation of an optimized crystal structure of Na2Al4Si, from Alexandria via LeMat-Bulk.

a = 4.969 Å, b = 4.969 Å, c = 15.623 Å
α = 90.00°, β = 90.00°, γ = 90.00°
Space group I4/mmm (No. 139)
Unique sites:
Na  0.000  0.000  0.145 [4 per cell]
Al  0.000  0.000  0.346 [4 per cell]
Al  0.000  0.500  0.000 [4 per cell]
Si  0.000  0.000  0.500 [2 per cell]

Computed properties:
**E_form (uncorrected)**: 0.469 eV per atom
**Spin magnetization**: 0.00 μB per cell
**Total DFT energy (no corrections)**: -2.821 eV/atom

***

18.
The following is a GGA-PBE calculation of an optimized crystal structure of TbNd2In4, from Alexandria via LeMat-Bulk.

a = 5.319 Å, b = 5.319 Å, c = 14.978 Å
α = 90.00°, β = 90.00°, γ = 90.00°
Space group I4/mmm (No. 139)
Unique sites:
Tb  0.000  0.000  0.000 [2 per cell]
Nd  0.000  0.000  0.252 [4 per cell]
In  0.000  0.500  0.110 [8 per cell]

Computed properties:
**Energy relative to the lowest polymorph listed for this composition**: 0 meV/atom
**Spin magnetization**: 0.00 μB per cell
**E_form**: -324 meV per atom
**Total DFT energy (no corrections)**: -3.913 eV/atom

***

19.
The following is a GGA-PBE calculation of an optimized crystal structure of ReOsO5, from Alexandria via LeMat-Bulk.

a = 8.254 Å, b = 6.252 Å, c = 7.016 Å
α = 90.00°, β = 114.70°, γ = 90.00°
Space group C2/c (No. 15)
Unique sites:
Re  0.000  0.026  0.250 [4 per cell]
Os  0.000  0.500  0.000 [4 per cell]
O  0.000  0.356  0.250 [4 per cell]
O  0.007  0.182  0.957 [8 per cell]
O  0.249  0.024  0.370 [8 per cell]

Computed properties:
**E_form (uncorrected)**: -1.161 eV per atom
**Spin magnetization**: 0.00 μB per cell
**Total DFT energy (no corrections)**: -8.085 eV/atom

***

20.
The following is a GGA-PBE calculation of an optimized crystal structure of ErCdAu4, from Alexandria via LeMat-Bulk.

a = 9.516 Å, b = 3.892 Å, c = 6.956 Å
α = 90.00°, β = 110.46°, γ = 90.00°
Space group C2/m (No. 12)
Unique sites:
Er  0.000  0.000  0.000 [2 per cell]
Cd  0.000  0.000  0.500 [2 per cell]
Au  0.165  0.500  0.831 [4 per cell]
Au  0.166  0.500  0.333 [4 per cell]

Computed properties:
**Energy relative to the lowest polymorph listed for this composition**: 0 meV/atom
**Spin magnetization**: 0.00 μB per cell
**E_form**: -497 meV per atom
**Total DFT energy (no corrections)**: -3.595 eV/atom

***

21.
The following is a GGA-PBE calculation of an optimized crystal structure of ThGa3PdPt, from Alexandria via LeMat-Bulk.

a = 5.838 Å, b = 13.785 Å, c = 5.720 Å
α = 90.00°, β = 90.00°, γ = 90.00°
Space group Cmcm (No. 63)
Unique sites:
Th  0.000  0.204  0.250 [4 per cell]
Ga  0.000  0.374  0.750 [4 per cell]
Ga  0.211  0.000  0.000 [8 per cell]
Pd  0.000  0.403  0.250 [4 per cell]
Pt  0.000  0.181  0.750 [4 per cell]

Computed properties:
**Spin magnetization**: 0.00 μB per cell
**E_form**: -560 meV per atom
**Total DFT energy (no corrections)**: -5.183 eV/atom

***

22.
The following is a GGA-PBE calculation of an optimized crystal structure of Sc2VFe, from Alexandria via LeMat-Bulk.

a = 2.9363 Å, b = 2.9363 Å, c = 28.7649 Å
α = 90.00°, β = 90.00°, γ = 120.00°
Space group R-3m (No. 166, hexagonal axes)
Unique sites:
Sc  0.0000  0.0000  0.0864 [6 per cell]
V  0.0000  0.0000  0.5000 [3 per cell]
Fe  0.0000  0.0000  0.0000 [3 per cell]

Computed properties:
**Energy relative to the lowest polymorph listed for this composition**: 366 meV/atom
**Spin magnetization**: 7.50 μB per cell
**E_form**: 538 meV per atom
**Total DFT energy (no corrections)**: -7.023 eV/atom

***

23.
The following is a GGA-PBE calculation of an optimized crystal structure of Fe2MoAu, from Alexandria via LeMat-Bulk.

a = 5.536 Å, b = 7.416 Å, c = 2.772 Å
α = 90.00°, β = 90.00°, γ = 90.00°
Space group Cmmm (No. 65)
Unique sites:
Fe  0.250  0.250  0.000 [4 per cell]
Mo  0.000  0.000  0.500 [2 per cell]
Au  0.000  0.500  0.500 [2 per cell]

Computed properties:
**Energy relative to the lowest polymorph listed for this composition**: 146 meV/atom
**Spin magnetization**: 7.30 μB per cell
**E_form**: 307 meV per atom
**Total DFT energy (no corrections)**: -7.452 eV/atom

***

24.
The following is a GGA-PBE calculation of an optimized crystal structure of Ac7Tl3N2, from Alexandria via LeMat-Bulk.

a = 5.437 Å, b = 26.736 Å, c = 5.262 Å
α = 90.00°, β = 90.00°, γ = 90.00°
Space group Cmmm (No. 65)
Unique sites:
Ac  0.000  0.000  0.000 [2 per cell]
Ac  0.000  0.097  0.500 [4 per cell]
Ac  0.000  0.200  0.000 [4 per cell]
Ac  0.000  0.398  0.000 [4 per cell]
Tl  0.000  0.306  0.500 [4 per cell]
Tl  0.000  0.500  0.500 [2 per cell]
N  0.000  0.103  0.000 [4 per cell]

Computed properties:
**E_form (uncorrected)**: -0.561 eV per atom
**Spin magnetization**: 0.00 μB per cell
**Total DFT energy (no corrections)**: -4.937 eV/atom

***

25.
The following is a GGA-PBE calculation of an optimized crystal structure of ZrAg2Cl, from Alexandria via LeMat-Bulk.

a = 3.102 Å, b = 3.102 Å, c = 9.030 Å
α = 90.00°, β = 90.00°, γ = 90.00°
Space group P4mm (No. 99)
Unique sites:
Zr  0.000  0.000  0.000 [1 per cell]
Ag  0.000  0.000  0.441 [1 per cell]
Ag  0.500  0.500  0.230 [1 per cell]
Cl  0.500  0.500  0.817 [1 per cell]

Computed properties:
**E_form (uncorrected)**: -0.368 eV per atom
**Energy relative to the lowest polymorph listed for this composition**: 34 meV/atom
**Spin magnetization**: 0.00 μB per cell
**Total DFT energy (no corrections)**: -4.392 eV/atom